A crystal of FeCuMo relaxed with PBEsol. Source: Alexandria, functional SCAN.

As for the formation energy from the elements: 0.799 eV/atom. Its energy above the lowest structure with this stoichiometry is 1.656 eV per formula unit.

The space group is F-43m (No. 216) and the conventional cell measures 5.5742, 5.5742 and 5.5742 Å, with angles of 90.00, 90.00 and 90.00 degrees. The asymmetric unit holds Fe at (0.0000, 0.0000, 0.0000), Cu at (0.2500, 0.2500, 0.2500) and Mo at (0.0000, 0.0000, 0.5000).